[1]
{
  "formula": "ReTcAsO",
  "functional": "PBE-GGA",
  "state": "relaxed",
  "lattice": [[4.1023, 0.0000, 0.0000], [0.0000, 4.1023, 0.0000], [0.0000, 0.0000, 6.1594]],
  "species": ["As", "As", "O", "O", "Re", "Re", "Tc", "Tc"],
  "frac_coords": [[0.0000, 0.5000, 0.2698], [0.5000, 0.0000, 0.7302], [0.0000, 0.0000, 0.0000], [0.5000, 0.5000, 0.0000], [0.0000, 0.0000, 0.5000], [0.5000, 0.5000, 0.5000], [0.5000, 0.0000, 0.1537], [0.0000, 0.5000, 0.8463]],
  "total_magnetization_mub_per_fu": 0.71,
  "sg": "P4/nmm, No. 129",
  "polymorph_energy_mev_per_atom": 308
}


[2]
{
  "formula": "BaInAgSn2",
  "functional": "PBE-GGA",
  "state": "relaxed",
  "lattice": [[-2.5067, 2.5067, 5.8389], [2.5067, -2.5067, 5.8389], [2.5067, 2.5067, -5.8389]],
  "species": ["Ag", "Ba", "In", "Sn", "Sn"],
  "frac_coords": [[0.3576, 0.3576, 0.0000], [0.9889, 0.9889, 0.0000], [0.5919, 0.5919, 0.0000], [0.7412, 0.2412, 0.5000], [0.2412, 0.7412, 0.5000]],
  "final_energy_ev_per_atom": -3.51,
  "sg": "I4mm, No. 107"
}


[3]
{
  "formula": "HfAlCuTc",
  "functional": "PBE-GGA",
  "state": "relaxed",
  "lattice": [[0.0000, 3.1729, 3.1729], [3.1729, 0.0000, 3.1729], [3.1729, 3.1729, 0.0000]],
  "species": ["Al", "Cu", "Hf", "Tc"],
  "frac_coords": [[0.0000, 0.0000, 0.0000], [0.7500, 0.7500, 0.7500], [0.2500, 0.2500, 0.2500], [0.5000, 0.5000, 0.5000]],
  "total_magnetization_mub_per_fu": 0.00,
  "sg": "F-43m, No. 216",
  "polymorph_energy_mev_per_atom": 348
}


[4]
{
  "formula": "Sm2ErMg3CdHg2",
  "functional": "PBE-GGA",
  "state": "relaxed",
  "lattice": [[4.7107, 0.0000, 0.0000], [0.0000, 6.4026, 3.7600], [0.0000, -6.4026, 3.7600]],
  "species": ["Cd", "Er", "Hg", "Hg", "Mg", "Mg", "Mg", "Sm", "Sm"],
  "frac_coords": [[0.0000, 0.9907, 0.9907], [0.0000, 0.5751, 0.5751], [0.5000, 0.6658, 0.3418], [0.5000, 0.3418, 0.6658], [0.5000, 0.7579, 0.0000], [0.5000, 0.2391, 0.2391], [0.5000, 0.0000, 0.7579], [0.0000, 0.4262, 0.0033], [0.0000, 0.0033, 0.4262]],
  "total_magnetization_mub_per_fu": 0.02,
  "final_energy_ev_per_atom": -2.59,
  "sg": "Amm2, No. 38"
}


[5]
{
  "formula": "Rb3Pd3N2",
  "functional": "PBE-GGA",
  "state": "relaxed",
  "lattice": [[2.8172, 1.6265, 6.2053], [-2.8172, 1.6265, 6.2053], [0.0000, -3.2530, 6.2053]],
  "species": ["N", "N", "Pd", "Pd", "Pd", "Rb", "Rb", "Rb"],
  "frac_coords": [[0.2648, 0.2648, 0.2648], [0.7352, 0.7352, 0.7352], [0.5000, 0.5000, 0.0000], [0.5000, 0.0000, 0.5000], [0.0000, 0.5000, 0.5000], [0.1008, 0.1008, 0.1008], [0.5000, 0.5000, 0.5000], [0.8992, 0.8992, 0.8992]],
  "final_energy_ev_per_atom": -4.27,
  "sg": "R-3m, No. 166"
}


[6]
{
  "formula": "Dy2Sn2Ir",
  "functional": "PBE-GGA",
  "state": "relaxed",
  "lattice": [[-2.4570, 3.5987, -3.9913], [-3.9886, -0.6106, -4.3170], [-4.3765, 0.8193, 9.9940]],
  "species": ["Dy", "Dy", "Dy", "Dy", "Ir", "Ir", "Sn", "Sn", "Sn", "Sn"],
  "frac_coords": [[0.1862, 0.1862, 0.1292], [0.9967, 0.9967, 0.3274], [0.0033, 0.0033, 0.6726], [0.8138, 0.8138, 0.8708], [0.7234, 0.7234, 0.3244], [0.2766, 0.2766, 0.6756], [0.4678, 0.4678, 0.1156], [0.3451, 0.3451, 0.4528], [0.6549, 0.6549, 0.5472], [0.5322, 0.5322, 0.8844]],
  "total_magnetization_mub_per_fu": 0.00,
  "final_energy_ev_per_atom": -6.00,
  "sg": "C2/m, No. 12"
}


[7]
{
  "formula": "Co4W",
  "functional": "PBE-GGA",
  "state": "relaxed",
  "lattice": [[-5.9447, 5.7674, 2.9925], [-5.5746, -6.6109, 1.6670], [1.7414, -0.4012, 4.2324]],
  "species": ["Co", "Co", "Co", "Co", "Co", "Co", "Co", "Co", "Co", "Co", "Co", "Co", "Co", "Co", "Co", "Co", "Co", "Co", "Co", "Co", "Co", "Co", "Co", "Co", "W", "W", "W", "W", "W", "W"],
  "frac_coords": [[0.7281, 0.0683, 0.0000], [0.4591, 0.1259, 0.0000], [0.9317, 0.2719, 0.0000], [0.1259, 0.4591, 0.0000], [0.8741, 0.5409, 0.0000], [0.0683, 0.7281, 0.0000], [0.5409, 0.8741, 0.0000], [0.2719, 0.9317, 0.0000], [0.6860, 0.3140, 0.2480], [0.3140, 0.6860, 0.2480], [0.1860, 0.1860, 0.2520], [0.8140, 0.8140, 0.2520], [0.6259, 0.0409, 0.5000], [0.4317, 0.2281, 0.5000], [0.9591, 0.3741, 0.5000], [0.2281, 0.4317, 0.5000], [0.7719, 0.5683, 0.5000], [0.0409, 0.6259, 0.5000], [0.5683, 0.7719, 0.5000], [0.3741, 0.9591, 0.5000], [0.1860, 0.1860, 0.7480], [0.8140, 0.8140, 0.7480], [0.6860, 0.3140, 0.7520], [0.3140, 0.6860, 0.7520], [0.0000, 0.0000, 0.0000], [0.3877, 0.3877, 0.0000], [0.6123, 0.6123, 0.0000], [0.8877, 0.1123, 0.5000], [0.5000, 0.5000, 0.5000], [0.1123, 0.8877, 0.5000]],
  "delta_e_f_ev_per_atom": 0.142,
  "total_magnetization_mub_per_fu": 5.15,
  "sg": "P4_2/mnm, No. 136"
}


[8]
{
  "formula": "Ho3Mg3Tl2Ir",
  "functional": "PBE-GGA",
  "state": "relaxed",
  "lattice": [[7.4589, 0.0000, 0.0000], [-3.7295, 6.4596, 0.0000], [0.0000, 0.0000, 4.4364]],
  "species": ["Ho", "Ho", "Ho", "Ir", "Mg", "Mg", "Mg", "Tl", "Tl"],
  "frac_coords": [[0.3883, 0.0000, 0.0000], [0.0000, 0.3883, 0.0000], [0.6117, 0.6117, 0.0000], [0.0000, 0.0000, 0.0000], [0.7701, 0.0000, 0.5000], [0.2299, 0.2299, 0.5000], [0.0000, 0.7701, 0.5000], [0.6667, 0.3333, 0.5000], [0.3333, 0.6667, 0.5000]],
  "total_magnetization_mub_per_fu": 0.00,
  "final_energy_ev_per_atom": -3.96,
  "sg": "P-62m, No. 189"
}